The following is a DFT calculation (PBE+U) of crystalline Rb3SmCr2O8 at its relaxed geometry.

Calculated values
electronic total energy = -89.24 eV for the cell shown
N(E_F) = 7.6 states/eV/f.u.

a = 6.1131 Å, b = 6.1131 Å, c = 8.0180 Å
α = 90.00°, β = 90.00°, γ = 120.00°
Last column: nearest neighbours and their distance in Å.
Sites, in units of the cell vectors:
O1 0.6432 0.8216 0.3303  1 Cr 1.75
O2 0.8216 0.1784 0.6697  1 Cr 1.75
O3 0.6667 0.3333 0.9556  1 Cr 1.67
O4 0.3333 0.6667 0.0444  1 Cr 1.67
O5 0.8216 0.6432 0.6697  1 Cr 1.75
O6 0.1784 0.8216 0.3303  1 Cr 1.75
O7 0.1784 0.3568 0.3303  1 Cr 1.75
O8 0.3568 0.1784 0.6697  1 Cr 1.75
Rb1 0.3333 0.6667 0.6985  7 O 2.77-3.07
Rb2 0.0000 0.0000 0.0000  12 O 3.25-3.55
Rb3 0.6667 0.3333 0.3015  7 O 2.77-3.07
Cr1 0.6667 0.3333 0.7475  4 O 1.67-1.75
Cr2 0.3333 0.6667 0.2525  4 O 1.67-1.75
Sm1 0.0000 0.0000 0.5000  6 O 2.33